[1]
Here is an optimized crystal structure of Nd12Rh3O5 from the Alexandria database. Energies are from PBE.

Formation energy (no corrections) in meV per atom: -1504
Total energy in hartree per atom: -0.2465
Crystal system: cubic
Space group: Ia-3d, No. 230

abc: 13.6223 13.6223 13.6223
angles: 109.47 109.47 109.47
Element x y z (fractional)
Nd 0.0230 0.2067 0.1177
Nd 0.0230 0.3163 0.9053
Nd 0.0890 0.7067 0.6837
Nd 0.0890 0.8823 0.4053
Nd 0.0947 0.6177 0.4110
Nd 0.0947 0.9770 0.6837
Nd 0.1177 0.0230 0.2067
Nd 0.1177 0.5947 0.9110
Nd 0.1837 0.2067 0.5890
Nd 0.1837 0.4770 0.5947
Nd 0.2067 0.1177 0.0230
Nd 0.2067 0.5890 0.1837
Nd 0.2933 0.3163 0.9110
Nd 0.2933 0.4770 0.3823
Nd 0.3163 0.9053 0.0230
Nd 0.3163 0.9110 0.2933
Nd 0.3823 0.2933 0.4770
Nd 0.3823 0.5890 0.9053
Nd 0.4053 0.0890 0.8823
Nd 0.4053 0.8163 0.5230
Nd 0.4110 0.0947 0.6177
Nd 0.4110 0.8163 0.7933
Nd 0.4770 0.3823 0.2933
Nd 0.4770 0.5947 0.1837
Nd 0.5230 0.4053 0.8163
Nd 0.5230 0.6177 0.7067
Nd 0.5890 0.1837 0.2067
Nd 0.5890 0.9053 0.3823
Nd 0.5947 0.1837 0.4770
Nd 0.5947 0.9110 0.1177
Nd 0.6177 0.4110 0.0947
Nd 0.6177 0.7067 0.5230
Nd 0.6837 0.0890 0.7067
Nd 0.6837 0.0947 0.9770
Nd 0.7067 0.5230 0.6177
Nd 0.7067 0.6837 0.0890
Nd 0.7933 0.4110 0.8163
Nd 0.7933 0.8823 0.9770
Nd 0.8163 0.5230 0.4053
Nd 0.8163 0.7933 0.4110
Nd 0.8823 0.4053 0.0890
Nd 0.8823 0.9770 0.7933
Nd 0.9053 0.0230 0.3163
Nd 0.9053 0.3823 0.5890
Nd 0.9110 0.1177 0.5947
Nd 0.9110 0.2933 0.3163
Nd 0.9770 0.6837 0.0947
Nd 0.9770 0.7933 0.8823
Rh 0.1250 0.2500 0.3750
Rh 0.1250 0.3750 0.7500
Rh 0.2500 0.3750 0.1250
Rh 0.2500 0.8750 0.6250
Rh 0.3750 0.1250 0.2500
Rh 0.3750 0.7500 0.1250
Rh 0.6250 0.2500 0.8750
Rh 0.6250 0.8750 0.7500
Rh 0.7500 0.1250 0.3750
Rh 0.7500 0.6250 0.8750
Rh 0.8750 0.6250 0.2500
Rh 0.8750 0.7500 0.6250
O 0.0000 0.0000 0.0000
O 0.0000 0.0000 0.5000
O 0.0000 0.5000 0.0000
O 0.0000 0.5000 0.5000
O 0.1250 0.7500 0.8750
O 0.1250 0.8750 0.2500
O 0.2500 0.1250 0.8750
O 0.2500 0.6250 0.3750
O 0.3750 0.2500 0.6250
O 0.3750 0.6250 0.7500
O 0.5000 0.0000 0.0000
O 0.5000 0.0000 0.5000
O 0.5000 0.5000 0.0000
O 0.5000 0.5000 0.5000
O 0.6250 0.3750 0.2500
O 0.6250 0.7500 0.3750
O 0.7500 0.3750 0.6250
O 0.7500 0.8750 0.1250
O 0.8750 0.1250 0.7500
O 0.8750 0.2500 0.1250

***

[2]
Here is an optimized crystal structure of Nd6Rh2O from the Alexandria database. Energies are from PBE.

Formation energy (no corrections) in meV per atom: -965
Total energy in hartree per atom: -0.2326
Crystal system: monoclinic
Space group: P2_1/c, No. 14

abc: 6.5433 7.2697 11.8453
angles: 90.00 122.61 90.00
Element x y z (fractional)
Nd 0.1071 0.0385 0.2404
Nd 0.1071 0.4615 0.7404
Nd 0.2365 0.6811 0.0643
Nd 0.2365 0.8189 0.5643
Nd 0.3809 0.1691 0.0632
Nd 0.3809 0.3309 0.5632
Nd 0.6191 0.6691 0.4368
Nd 0.6191 0.8309 0.9368
Nd 0.7635 0.1811 0.4357
Nd 0.7635 0.3189 0.9357
Nd 0.8929 0.5385 0.2596
Nd 0.8929 0.9615 0.7596
Rh 0.3082 0.1102 0.7517
Rh 0.3082 0.3898 0.2517
Rh 0.6918 0.6102 0.7483
Rh 0.6918 0.8898 0.2483
O 0.0000 0.0000 0.0000
O 0.0000 0.5000 0.5000

***

[3]
Here is an optimized crystal structure of Nd2RhO from the Alexandria database. Energies are from PBE.

Formation energy (no corrections) in meV per atom: -1371
Total energy in hartree per atom: -0.2511
Energy above the lowest structure with this stoichiometry in kJ/mol of atoms: 12.9
Crystal system: trigonal
Space group: R3m, No. 160

abc: 7.4142 7.4142 7.4142
angles: 28.81 28.81 28.81
Element x y z (fractional)
Nd 0.0000 0.0000 0.0000
Nd 0.1557 0.1557 0.1557
Rh 0.5768 0.5768 0.5768
O 0.4041 0.4041 0.4041